The following is a PBE calculation of an optimized crystal structure of Ba4Ge2O, from the Alexandria database.

The calculation puts the uncorrected formation energy at -1.007 eV per atom. Its calculated total energy is -4.133 eV per atom. As for the density of states at the Fermi level: 0.22 states/eV/atom.

The structure belongs to space group P2_1/m (No. 11); the cell edges are 7.989, 7.579 and 8.622 Å and the angles 90.00°, 103.91° and 90.00°. The asymmetric unit holds Ba at (0.062, 0.250, 0.387), Ba at (0.272, 0.501, 0.063), Ba at (0.410, 0.750, 0.535), Ge at (0.009, 0.250, 0.768), Ge at (0.343, 0.250, 0.747) and O at (0.316, 0.250, 0.258).



The following is a PBE calculation of an optimized crystal structure of Ba12Ge5O2, from the Alexandria database.

The calculation puts the uncorrected formation energy at -0.774 eV per atom. Its calculated total energy is -3.725 eV per atom. As for the density of states at the Fermi level: 0.47 states/eV/atom.

The structure belongs to space group C2/m (No. 12); the cell edges are 18.301, 8.364 and 10.634 Å and the angles 90.00°, 106.37° and 90.00°. The asymmetric unit holds Ba at (0.001, 0.000, 0.319), Ba at (0.012, 0.500, 0.322), Ba at (0.155, 0.254, 0.072), Ba at (0.169, 0.241, 0.593), Ge at (0.000, 0.500, 0.000), Ge at (0.183, 0.000, 0.845), Ge at (0.184, 0.000, 0.342) and O at (0.000, 0.266, 0.500).



The following is a PBE calculation of an optimized crystal structure of BaGeO, from the Alexandria database.

The calculation puts the uncorrected formation energy at -1.442 eV per atom. Its calculated total energy is -5.275 eV per atom. As for the density of states at the Fermi level: 0.30 states/eV/atom.

The structure belongs to space group Cmc2_1 (No. 36); the cell edges are 4.782, 12.892 and 5.101 Å and the angles 90.00°, 90.00° and 90.00°. The asymmetric unit holds Ba at (0.000, 0.148, 0.000), Ge at (0.000, 0.462, 0.104) and O at (0.000, 0.327, 0.252).



The following is a PBE calculation of an optimized crystal structure of Ba2Ge2O5, from the Alexandria database.

The calculation puts the uncorrected formation energy at -1.908 eV per atom. Its calculated total energy is -6.116 eV per atom. As for the density of states at the Fermi level: 0.01 states/eV/atom.

The structure belongs to space group C2/m (No. 12); the cell edges are 12.002, 4.304 and 6.345 Å and the angles 90.00°, 110.45° and 90.00°. The asymmetric unit holds Ba at (0.104, 0.000, 0.312), Ge at (0.153, 0.500, 0.874), O at (0.000, 0.500, 0.000), O at (0.160, 0.500, 0.591) and O at (0.182, 0.000, 0.939).



The following is a PBE calculation of an optimized crystal structure of Ba5Ge2O, from the Alexandria database.

The calculation puts the uncorrected formation energy at -0.755 eV per atom. Its calculated total energy is -3.731 eV per atom. As for the density of states at the Fermi level: 0.72 states/eV/atom.

The structure belongs to space group Cmcm (No. 63); the cell edges are 6.388, 14.172 and 15.049 Å and the angles 90.00°, 90.00° and 90.00°. The asymmetric unit holds Ba at (0.000, 0.059, 0.124), Ba at (0.000, 0.294, 0.750), Ba at (0.000, 0.328, 0.106), Ge at (0.000, 0.176, 0.565) and O at (0.000, 0.189, 0.250).



The following is a PBE calculation of an optimized crystal structure of Ba2GeO3, from the Alexandria database.

The calculation puts the uncorrected formation energy at -1.990 eV per atom. Its calculated total energy is -5.879 eV per atom. As for the density of states at the Fermi level: 0.00 states/eV/atom.

The structure belongs to space group C2/c (No. 15); the cell edges are 11.471, 5.521 and 7.850 Å and the angles 90.00°, 99.38° and 90.00°. The asymmetric unit holds Ba at (0.167, 0.010, 0.088), Ge at (0.000, 0.487, 0.750), O at (0.000, 0.163, 0.750) and O at (0.174, 0.488, 0.634).